# 1
An optimized crystal structure of TbErHfN3. Source: Alexandria via LeMat-Bulk, functional PBE-GGA. Values from VASP.

Properties
E_tot in eV per cell: -105.75
Size of the total moment in μB per cell: 1.3
V in Å³ per cell: 189.4
Formation energy from raw total energies in eV per formula unit: -8.8

Quantum ESPRESSO input file:
```
&SYSTEM
  ibrav = 0, nat = 12, ntyp = 4
/
ATOMIC_SPECIES
Tb 158.93 Tb.upf
Er 167.26 Er.upf
Hf 178.49 Hf.upf
N 14.01 N.upf
ATOMIC_POSITIONS crystal
Tb 0.7500 0.8207 0.7744
Tb 0.2500 0.1793 0.2256
Er 0.2500 0.2135 0.5800
Er 0.7500 0.7865 0.4200
Hf 0.2500 0.6678 0.1018
Hf 0.7500 0.3322 0.8982
N 0.2500 0.8288 0.5782
N 0.7500 0.8820 0.1638
N 0.7500 0.4078 0.1157
N 0.7500 0.1712 0.4218
N 0.2500 0.5922 0.8843
N 0.2500 0.1180 0.8362
CELL_PARAMETERS angstrom
3.2484 0.0000 0.0000
0.0000 6.0981 0.6299
0.0000 -1.6454 9.3904
```


# 2
An optimized crystal structure of MgSc2Hg2. Source: Alexandria via LeMat-Bulk, functional PBE-GGA. Values from VASP.

Properties
E_tot in eV per cell: -15.04
Offset from the most stable computed form in eV/atom: 0.307
Size of the total moment in μB per cell: 0.9
Calculated formation energy in eV per atom: -0.04
V in Å³ per cell: 124.2

Quantum ESPRESSO input file:
```
&SYSTEM
  ibrav = 0, nat = 5, ntyp = 3
/
ATOMIC_SPECIES
Sc 44.96 Sc.upf
Mg 24.30 Mg.upf
Hg 200.59 Hg.upf
ATOMIC_POSITIONS crystal
Sc 0.7500 0.2500 0.5000
Sc 0.2500 0.7500 0.5000
Mg 0.0000 0.0000 0.0000
Hg 0.3975 0.3975 0.2050
Hg 0.6025 0.6025 0.7950
CELL_PARAMETERS angstrom
-0.7648 -2.8136 -3.1850
3.7436 1.0858 -1.8581
4.5931 -5.6322 0.9454
```


# 3
An optimized crystal structure of MgOs2Br. Source: Alexandria via LeMat-Bulk, functional PBE-GGA. Values from VASP.

Properties
E_tot in eV per cell: -22.10
Offset from the most stable computed form in eV/atom: 0.652
Size of the total moment in μB per cell: 0.0
V in Å³ per cell: 67.9
Formation energy from raw total energies in eV per formula unit: 3.6

Quantum ESPRESSO input file:
```
&SYSTEM
  ibrav = 0, nat = 4, ntyp = 3
/
ATOMIC_SPECIES
Br 79.90 Br.upf
Mg 24.30 Mg.upf
Os 190.23 Os.upf
ATOMIC_POSITIONS crystal
Br 0.5286 0.5286 0.0000
Mg 0.2503 0.7503 0.5000
Os 0.9683 0.9683 0.0000
Os 0.7527 0.2527 0.5000
CELL_PARAMETERS angstrom
-0.1787 4.2953 3.6330
1.3957 -0.7138 5.4058
1.4321 -0.1584 -5.4410
```


# 4
An optimized crystal structure of PmSc4Tl2. Source: Alexandria via LeMat-Bulk, functional PBE-GGA. Values from VASP.

Properties
E_tot in eV per cell: -34.09
Size of the total moment in μB per cell: 1.3
Calculated formation energy in eV per atom: 0.10
V in Å³ per cell: 186.5

Quantum ESPRESSO input file:
```
&SYSTEM
  ibrav = 0, nat = 7, ntyp = 3
/
ATOMIC_SPECIES
Pm 145.00 Pm.upf
Sc 44.96 Sc.upf
Tl 204.38 Tl.upf
ATOMIC_POSITIONS crystal
Pm 0.0000 0.0000 0.0000
Sc 0.1385 0.1385 0.2771
Sc 0.8615 0.8615 0.7229
Sc 0.7500 0.2500 0.5000
Sc 0.2500 0.7500 0.5000
Tl 0.5936 0.5936 0.1873
Tl 0.4064 0.4064 0.8127
CELL_PARAMETERS angstrom
-3.1262 2.2558 -1.4597
-2.6807 -2.7707 1.4593
2.4173 5.7314 9.5002
```


# 5
An optimized crystal structure of Ba2CaCd7. Source: Alexandria via LeMat-Bulk, functional PBE-GGA. Values from VASP.

Properties
E_tot in eV per cell: -15.00
Size of the total moment in μB per cell: 0.0
Calculated formation energy in eV per atom: -0.28
V in Å³ per cell: 310.3

Quantum ESPRESSO input file:
```
&SYSTEM
  ibrav = 0, nat = 10, ntyp = 3
/
ATOMIC_SPECIES
Ba 137.33 Ba.upf
Ca 40.08 Ca.upf
Cd 112.41 Cd.upf
ATOMIC_POSITIONS crystal
Ba 0.5000 0.0000 0.7338
Ba 0.0000 0.5000 0.2662
Ca 0.5000 0.5000 0.0000
Cd 0.0000 0.5000 0.8481
Cd 0.5000 0.0000 0.3691
Cd 0.5000 0.0000 0.1519
Cd 0.0000 0.5000 0.6309
Cd 0.0000 0.0000 0.5000
Cd 0.0000 0.0000 0.0000
Cd 0.5000 0.5000 0.5000
CELL_PARAMETERS angstrom
4.7940 0.0000 0.0000
0.0000 4.7940 0.0000
0.0000 0.0000 13.5005
```


# 6
An optimized crystal structure of CaSnSb. Source: Alexandria via LeMat-Bulk, functional PBE-GGA. Values from VASP.

Properties
E_tot in eV per cell: -23.05
Size of the total moment in μB per cell: 0.0
V in Å³ per cell: 192.6
Formation energy from raw total energies in eV per formula unit: -1.4

Quantum ESPRESSO input file:
```
&SYSTEM
  ibrav = 0, nat = 6, ntyp = 3
/
ATOMIC_SPECIES
Sn 118.71 Sn.upf
Ca 40.08 Ca.upf
Sb 121.76 Sb.upf
ATOMIC_POSITIONS crystal
Sn 0.2500 0.8456 0.5937
Sn 0.7500 0.1544 0.4063
Ca 0.7500 0.1984 0.8913
Ca 0.2500 0.8016 0.1087
Sb 0.7500 0.6519 0.7692
Sb 0.2500 0.3481 0.2308
CELL_PARAMETERS angstrom
4.4295 0.0000 0.0000
0.0000 6.3417 0.7046
0.0000 -2.2859 6.6042
```


# 7
An optimized crystal structure of Tb2ZrP3Rh12. Source: Alexandria via LeMat-Bulk, functional PBE-GGA. Values from VASP.

Properties
E_tot in eV per cell: -129.04
Size of the total moment in μB per cell: 0.0
Calculated formation energy in eV per atom: -0.38
V in Å³ per cell: 293.9

Quantum ESPRESSO input file:
```
&SYSTEM
  ibrav = 0, nat = 18, ntyp = 4
/
ATOMIC_SPECIES
Tb 158.93 Tb.upf
Zr 91.22 Zr.upf
P 30.97 P.upf
Rh 102.91 Rh.upf
ATOMIC_POSITIONS crystal
Tb 0.6255 0.6255 0.6255
Tb 0.3745 0.3745 0.3745
Zr 0.0000 0.0000 0.0000
P 0.5000 0.0000 0.0000
P 0.0000 0.5000 0.0000
P 0.0000 0.0000 0.5000
Rh 0.3664 0.3664 0.9111
Rh 0.8224 0.8224 0.3336
Rh 0.3336 0.8224 0.8224
Rh 0.9111 0.3664 0.3664
Rh 0.8224 0.3336 0.8224
Rh 0.3664 0.9111 0.3664
Rh 0.6336 0.6336 0.0889
Rh 0.1776 0.1776 0.6664
Rh 0.6664 0.1776 0.1776
Rh 0.0889 0.6336 0.6336
Rh 0.1776 0.6664 0.1776
Rh 0.6336 0.0889 0.6336
CELL_PARAMETERS angstrom
-1.1789 6.3189 -1.8652
-4.7288 1.3079 4.5525
4.0058 2.9211 4.4965
```


# 8
An optimized crystal structure of Ru2AuF. Source: Alexandria via LeMat-Bulk, functional PBE-GGA. Values from VASP.

Properties
E_tot in eV per cell: -43.24
Offset from the most stable computed form in eV/atom: 0.000
Size of the total moment in μB per cell: 0.0
V in Å³ per cell: 134.0
Formation energy from raw total energies in eV per formula unit: 2.1

Quantum ESPRESSO input file:
```
&SYSTEM
  ibrav = 0, nat = 8, ntyp = 3
/
ATOMIC_SPECIES
Ru 101.07 Ru.upf
Au 196.97 Au.upf
F 19.00 F.upf
ATOMIC_POSITIONS crystal
Ru 0.5141 0.1250 0.2500
Ru 0.2359 0.6250 0.2500
Ru 0.3750 0.4859 0.7500
Ru 0.8750 0.7641 0.7500
Au 0.0000 0.0000 0.0000
Au 0.7500 0.2500 0.5000
F 0.5000 0.5000 0.0000
F 0.2500 0.7500 0.5000
CELL_PARAMETERS angstrom
4.0613 0.0000 0.0000
0.0000 4.0613 0.0000
2.0307 2.0307 8.1225
```


# 9
An optimized crystal structure of Ce2Pr3ErP6. Source: Alexandria via LeMat-Bulk, functional PBE-GGA. Values from VASP.

Properties
E_tot in eV per cell: -81.58
Size of the total moment in μB per cell: 0.8
Calculated formation energy in eV per atom: -1.53
V in Å³ per cell: 297.1

Quantum ESPRESSO input file:
```
&SYSTEM
  ibrav = 0, nat = 12, ntyp = 4
/
ATOMIC_SPECIES
Ce 140.12 Ce.upf
Pr 140.91 Pr.upf
Er 167.26 Er.upf
P 30.97 P.upf
ATOMIC_POSITIONS crystal
Ce 0.3334 0.6666 0.0000
Ce 0.6666 0.3334 0.0000
Pr 0.1669 0.8331 0.5000
Pr 0.8331 0.1669 0.5000
Pr 0.5000 0.5000 0.5000
Er 0.0000 0.0000 0.0000
P 0.9210 0.5889 0.7628
P 0.7475 0.7475 0.2385
P 0.0790 0.4111 0.2372
P 0.5889 0.9210 0.7628
P 0.2525 0.2525 0.7615
P 0.4111 0.0790 0.2372
CELL_PARAMETERS angstrom
7.1327 -0.0012 0.0005
-3.5656 6.1775 0.0005
-1.1897 -2.0599 6.7429
```


# 10
An optimized crystal structure of MnCdTc2. Source: Alexandria via LeMat-Bulk, functional PBE-GGA. Values from VASP.

Properties
E_tot in eV per cell: -29.33
Size of the total moment in μB per cell: 2.6
Calculated formation energy in eV per atom: 0.37
V in Å³ per cell: 62.7

Quantum ESPRESSO input file:
```
&SYSTEM
  ibrav = 0, nat = 4, ntyp = 3
/
ATOMIC_SPECIES
Cd 112.41 Cd.upf
Mn 54.94 Mn.upf
Tc 98.00 Tc.upf
ATOMIC_POSITIONS crystal
Cd 0.5018 0.5018 0.4855
Mn 0.2597 0.2597 0.2343
Tc 0.9978 0.9978 0.9834
Tc 0.7408 0.7408 0.7969
CELL_PARAMETERS angstrom
-2.6489 2.0118 3.4389
-4.3957 1.3850 1.2844
-1.5348 -4.0039 2.4092
```


# 11
An optimized crystal structure of EuScAlAu. Source: Alexandria via LeMat-Bulk, functional PBE-GGA. Values from VASP.

Properties
E_tot in eV per cell: -25.33
Size of the total moment in μB per cell: 6.8
Calculated formation energy in eV per atom: -0.43
V in Å³ per cell: 92.3

Quantum ESPRESSO input file:
```
&SYSTEM
  ibrav = 0, nat = 4, ntyp = 4
/
ATOMIC_SPECIES
Eu 151.96 Eu.upf
Sc 44.96 Sc.upf
Au 196.97 Au.upf
Al 26.98 Al.upf
ATOMIC_POSITIONS crystal
Eu 0.7500 0.7500 0.7500
Sc 0.2500 0.2500 0.2500
Au 0.0000 0.0000 0.0000
Al 0.5000 0.5000 0.5000
CELL_PARAMETERS angstrom
-3.4924 3.6726 0.2152
-3.9808 -0.0983 -3.1424
-4.6321 -1.0075 1.8053
```


# 12
An optimized crystal structure of Hg2RhF7. Source: Alexandria via LeMat-Bulk, functional PBE-GGA. Values from VASP.

Properties
E_tot in eV per cell: -68.17
Size of the total moment in μB per cell: 4.0
V in Å³ per cell: 325.5
Formation energy from raw total energies in eV per formula unit: -13.0

Quantum ESPRESSO input file:
```
&SYSTEM
  ibrav = 0, nat = 20, ntyp = 3
/
ATOMIC_SPECIES
Hg 200.59 Hg.upf
Rh 102.91 Rh.upf
F 19.00 F.upf
ATOMIC_POSITIONS crystal
Hg 0.6725 0.9181 0.6449
Hg 0.7645 0.4181 0.1449
Hg 0.2355 0.5819 0.8551
Hg 0.3275 0.0819 0.3551
Rh 0.8850 0.2500 0.7500
Rh 0.1150 0.7500 0.2500
F 0.6191 0.5875 0.7587
F 0.0347 0.0875 0.2587
F 0.2277 0.8142 0.0068
F 0.2855 0.0613 0.6499
F 0.5408 0.2500 0.7500
F 0.9513 0.3142 0.5068
F 0.9967 0.4387 0.8501
F 0.0033 0.5613 0.1499
F 0.0487 0.6858 0.4932
F 0.4592 0.7500 0.2500
F 0.7145 0.9387 0.3501
F 0.7723 0.1858 0.9932
F 0.9653 0.9125 0.7413
F 0.3809 0.4125 0.2413
CELL_PARAMETERS angstrom
6.0928 0.0000 2.9713
2.5789 5.8576 2.4442
-0.4894 -0.7216 8.7360
```


no.,density (g/cm3)
1,9.59
2,6.89
3,11.85
4,6.53
5,5.90
6,4.84
7,9.81
8,10.36
9,5.90
10,9.62
11,7.57
12,6.50